[1]
## K4TaRe (PBE)

Data for K4TaRe after structural relaxation.

Unit cell a=6.5321 b=6.5321 c=6.5321 alpha=60.00 beta=60.00 gamma=60.00
Element x y z (fractional)
K 0.3755 0.3755 0.3755
K 0.3755 0.8736 0.3755
K 0.8736 0.3755 0.3755
K 0.3755 0.3755 0.8736
Ta 0.0000 0.0000 0.0000
Re 0.7500 0.7500 0.7500

Properties
**Total DFT energy (no corrections)**: -16.63 eV per cell
**Energy relative to the elements**: 2.01 eV/atom
**Total magnetic moment**: 1.113 Bohr magnetons per cell
**Theoretical density**: 4.4 g cm⁻³



[2]
## KTaRe (PBE)

Data for KTaRe after structural relaxation.

Unit cell a=2.8449 b=2.8449 c=8.7282 alpha=90.00 beta=90.00 gamma=120.00
Element x y z (fractional)
Ta 0.3333 0.6667 0.6326
Re 0.6667 0.3333 0.3555
K 0.0000 0.0000 0.0119

Properties
**Total DFT energy (no corrections)**: -22.33 eV per cell
**Energy relative to the lowest polymorph listed for this composition**: 0.223 eV per atom
**Energy relative to the elements**: 1.02 eV/atom
**Total magnetic moment**: 0.000 Bohr magnetons per cell
**Theoretical density**: 11.0 g cm⁻³



[3]
## KTaRe2 (PBE)

Data for KTaRe2 after structural relaxation.

Unit cell a=2.7922 b=2.7922 c=10.3320 alpha=90.00 beta=90.00 gamma=110.51
Element x y z (fractional)
Re 0.0000 0.0000 0.0401
K 0.5000 0.5000 0.7500
Re 0.0000 0.0000 0.4599
Ta 0.5000 0.5000 0.2500

Properties
**Total DFT energy (no corrections)**: -35.38 eV per cell
**Energy relative to the lowest polymorph listed for this composition**: 0.000 eV per atom
**Energy relative to the elements**: 0.62 eV/atom
**Total magnetic moment**: 0.000 Bohr magnetons per cell
**Theoretical density**: 13.0 g cm⁻³



[4]
## KTaRe2 (PBE)

Data for KTaRe2 after structural relaxation.

Unit cell a=6.2791 b=6.2791 c=6.2791 alpha=155.10 beta=128.03 gamma=58.46
Element x y z (fractional)
Re 0.9584 0.9584 0.0000
Ta 0.5414 0.5414 0.0000
Re 0.7569 0.2569 0.5000
K 0.2433 0.7433 0.5000

Properties
**Total DFT energy (no corrections)**: -33.05 eV per cell
**Energy relative to the lowest polymorph listed for this composition**: 0.582 eV per atom
**Energy relative to the elements**: 1.20 eV/atom
**Total magnetic moment**: 0.000 Bohr magnetons per cell
**Theoretical density**: 12.1 g cm⁻³



[5]
## KTa4Re (PBE)

Data for KTa4Re after structural relaxation.

Unit cell a=5.5374 b=5.5374 c=5.5374 alpha=60.00 beta=60.00 gamma=60.00
Element x y z (fractional)
Ta 0.3739 0.8782 0.3739
Re 0.0000 0.0000 0.0000
Ta 0.3739 0.3739 0.3739
Ta 0.8782 0.3739 0.3739
Ta 0.3739 0.3739 0.8782
K 0.7500 0.7500 0.7500

Properties
**Total DFT energy (no corrections)**: -53.95 eV per cell
**Energy relative to the elements**: 1.17 eV/atom
**Total magnetic moment**: 0.000 Bohr magnetons per cell
**Theoretical density**: 13.1 g cm⁻³



[6]
## KTaRe (PBE)

Data for KTaRe after structural relaxation.

Unit cell a=8.8076 b=8.8076 c=8.8076 alpha=162.18 beta=162.18 gamma=25.30
Element x y z (fractional)
Re 0.3194 0.3194 0.0000
Ta 0.6897 0.6897 0.0000
K 0.9910 0.9910 0.0000

Properties
**Total DFT energy (no corrections)**: -22.00 eV per cell
**Energy relative to the lowest polymorph listed for this composition**: 0.333 eV per atom
**Energy relative to the elements**: 1.13 eV/atom
**Total magnetic moment**: 0.000 Bohr magnetons per cell
**Theoretical density**: 10.6 g cm⁻³



[7]
## KTaRe2 (PBE)

Data for KTaRe2 after structural relaxation.

Unit cell a=4.4525 b=2.7733 c=7.5965 alpha=84.74 beta=90.00 gamma=90.00
Element x y z (fractional)
Re 0.0000 0.5856 0.4002
K 0.5000 0.7500 0.7500
Re 0.0000 0.9144 0.0998
Ta 0.5000 0.2500 0.2500

Properties
**Total DFT energy (no corrections)**: -34.51 eV per cell
**Energy relative to the lowest polymorph listed for this composition**: 0.218 eV per atom
**Energy relative to the elements**: 0.83 eV/atom
**Total magnetic moment**: 0.000 Bohr magnetons per cell
**Theoretical density**: 10.5 g cm⁻³



[8]
## KTaRe2 (PBE)

Data for KTaRe2 after structural relaxation.

Unit cell a=2.7006 b=2.7006 c=10.5331 alpha=90.00 beta=90.00 gamma=90.00
Element x y z (fractional)
K 0.5000 0.5000 0.7500
Ta 0.5000 0.5000 0.2500
Re 0.0000 0.0000 0.0361
Re 0.0000 0.0000 0.4639

Properties
**Total DFT energy (no corrections)**: -34.17 eV per cell
**Energy relative to the lowest polymorph listed for this composition**: 0.301 eV per atom
**Energy relative to the elements**: 0.92 eV/atom
**Total magnetic moment**: 0.000 Bohr magnetons per cell
**Theoretical density**: 12.8 g cm⁻³



[9]
## KTaRe2 (PBE)

Data for KTaRe2 after structural relaxation.

Unit cell a=4.6697 b=4.6697 c=4.6697 alpha=60.00 beta=60.00 gamma=60.00
Element x y z (fractional)
Re 0.7500 0.7500 0.7500
K 0.0000 0.0000 0.0000
Re 0.2500 0.2500 0.2500
Ta 0.5000 0.5000 0.5000

Properties
**Total DFT energy (no corrections)**: -31.84 eV per cell
**Energy relative to the lowest polymorph listed for this composition**: 0.886 eV per atom
**Energy relative to the elements**: 1.50 eV/atom
**Total magnetic moment**: 0.000 Bohr magnetons per cell
**Theoretical density**: 13.7 g cm⁻³



[10]
## KTaRe2 (PBE)

Data for KTaRe2 after structural relaxation.

Unit cell a=2.7931 b=2.7931 c=10.6644 alpha=90.00 beta=90.00 gamma=112.21
Element x y z (fractional)
Re 0.5000 0.5000 0.2414
K 0.5000 0.5000 0.7650
Ta 0.0000 0.0000 0.4510
Re 0.0000 0.0000 0.0426

Properties
**Total DFT energy (no corrections)**: -34.86 eV per cell
**Energy relative to the lowest polymorph listed for this composition**: 0.130 eV per atom
**Energy relative to the elements**: 0.75 eV/atom
**Total magnetic moment**: 0.000 Bohr magnetons per cell
**Theoretical density**: 12.8 g cm⁻³



[11]
## KTaRe2 (PBE)

Data for KTaRe2 after structural relaxation.

Unit cell a=2.9644 b=2.9644 c=9.7870 alpha=90.00 beta=90.00 gamma=90.00
Element x y z (fractional)
Re 0.5000 0.5000 0.2278
Ta 0.0000 0.0000 0.4264
Re 0.0000 0.0000 0.0747
K 0.5000 0.5000 0.7712

Properties
**Total DFT energy (no corrections)**: -34.76 eV per cell
**Energy relative to the lowest polymorph listed for this composition**: 0.156 eV per atom
**Energy relative to the elements**: 0.77 eV/atom
**Total magnetic moment**: 0.480 Bohr magnetons per cell
**Theoretical density**: 11.4 g cm⁻³



[12]
## KTaRe2 (PBE)

Data for KTaRe2 after structural relaxation.

Unit cell a=4.8270 b=4.8270 c=7.3347 alpha=88.86 beta=88.86 gamma=32.88
Element x y z (fractional)
K 0.7500 0.7500 0.7500
Ta 0.2500 0.2500 0.2500
Re 0.5083 0.5083 0.4030
Re 0.9917 0.9917 0.0970

Properties
**Total DFT energy (no corrections)**: -33.59 eV per cell
**Energy relative to the lowest polymorph listed for this composition**: 0.447 eV per atom
**Energy relative to the elements**: 1.06 eV/atom
**Total magnetic moment**: 0.000 Bohr magnetons per cell
**Theoretical density**: 10.6 g cm⁻³



[13]
## KTaRe2 (PBE)

Data for KTaRe2 after structural relaxation.

Unit cell a=5.6290 b=5.6550 c=2.6653 alpha=81.31 beta=80.21 gamma=117.23
Element x y z (fractional)
Ta 0.0000 0.5000 0.5000
Re 0.0000 0.0000 0.0000
Re 0.5000 0.0000 0.5000
K 0.5000 0.5000 0.0000

Properties
**Total DFT energy (no corrections)**: -32.45 eV per cell
**Energy relative to the lowest polymorph listed for this composition**: 0.732 eV per atom
**Energy relative to the elements**: 1.35 eV/atom
**Total magnetic moment**: 0.000 Bohr magnetons per cell
**Theoretical density**: 13.7 g cm⁻³



[14]
## KTaRe (PBE)

Data for KTaRe after structural relaxation.

Unit cell a=4.5987 b=4.5987 c=4.5987 alpha=60.00 beta=60.00 gamma=60.00
Element x y z (fractional)
Re 0.0000 0.0000 0.0000
Ta 0.5000 0.5000 0.5000
K 0.7500 0.7500 0.7500

Properties
**Total DFT energy (no corrections)**: -15.35 eV per cell
**Energy relative to the lowest polymorph listed for this composition**: 2.550 eV per atom
**Energy relative to the elements**: 3.35 eV/atom
**Total magnetic moment**: 0.344 Bohr magnetons per cell
**Theoretical density**: 9.8 g cm⁻³



[15]
## KTaRe2 (PBE)

Data for KTaRe2 after structural relaxation.

Unit cell a=11.0206 b=11.0206 c=11.0206 alpha=14.87 beta=14.87 gamma=14.87
Element x y z (fractional)
K 0.7458 0.7458 0.7458
Re 0.2552 0.2552 0.2552
Re 0.9853 0.9853 0.9853
Ta 0.5137 0.5137 0.5137

Properties
**Total DFT energy (no corrections)**: -34.91 eV per cell
**Energy relative to the lowest polymorph listed for this composition**: 0.117 eV per atom
**Energy relative to the elements**: 0.73 eV/atom
**Total magnetic moment**: 0.000 Bohr magnetons per cell
**Theoretical density**: 12.8 g cm⁻³



[16]
## KTaRe2 (PBE)

Data for KTaRe2 after structural relaxation.

Unit cell a=2.8044 b=4.3940 c=7.7135 alpha=90.00 beta=90.00 gamma=90.00
Element x y z (fractional)
Re 0.0000 0.0000 0.1014
Re 0.0000 0.0000 0.3986
K 0.5000 0.5000 0.7500
Ta 0.5000 0.5000 0.2500

Properties
**Total DFT energy (no corrections)**: -34.58 eV per cell
**Energy relative to the lowest polymorph listed for this composition**: 0.200 eV per atom
**Energy relative to the elements**: 0.82 eV/atom
**Total magnetic moment**: 0.000 Bohr magnetons per cell
**Theoretical density**: 10.4 g cm⁻³



[17]
## KTaRe3 (PBE)

Data for KTaRe3 after structural relaxation.

Unit cell a=4.9253 b=4.9253 c=4.9253 alpha=90.00 beta=90.00 gamma=90.00
Element x y z (fractional)
Re 0.0000 0.5000 0.0000
K 0.5000 0.5000 0.5000
Re 0.5000 0.0000 0.0000
Re 0.0000 0.0000 0.5000
Ta 0.0000 0.0000 0.0000

Properties
**Total DFT energy (no corrections)**: -38.98 eV per cell
**Energy relative to the lowest polymorph listed for this composition**: 0.000 eV per atom
**Energy relative to the elements**: 2.26 eV/atom
**Total magnetic moment**: 3.524 Bohr magnetons per cell
**Theoretical density**: 10.8 g cm⁻³



[18]
## KTaRe2 (PBE)

Data for KTaRe2 after structural relaxation.

Unit cell a=5.6474 b=5.6474 c=2.6026 alpha=90.00 beta=90.00 gamma=117.84
Element x y z (fractional)
Ta 0.5000 0.0000 0.5000
Re 0.5000 0.5000 0.0000
K 0.0000 0.5000 0.5000
Re 0.0000 0.0000 0.0000

Properties
**Total DFT energy (no corrections)**: -32.33 eV per cell
**Energy relative to the lowest polymorph listed for this composition**: 0.762 eV per atom
**Energy relative to the elements**: 1.38 eV/atom
**Total magnetic moment**: 0.001 Bohr magnetons per cell
**Theoretical density**: 13.4 g cm⁻³



[19]
## KTaRe2 (PBE)

Data for KTaRe2 after structural relaxation.

Unit cell a=5.7075 b=5.7075 c=5.7075 alpha=149.75 beta=127.08 gamma=62.17
Element x y z (fractional)
K 0.2500 0.7500 0.5000
Ta 0.7500 0.2500 0.5000
Re 0.9762 0.9762 0.0000
Re 0.5238 0.5238 0.0000

Properties
**Total DFT energy (no corrections)**: -32.47 eV per cell
**Energy relative to the lowest polymorph listed for this composition**: 0.728 eV per atom
**Energy relative to the elements**: 1.34 eV/atom
**Total magnetic moment**: 0.025 Bohr magnetons per cell
**Theoretical density**: 13.3 g cm⁻³



[20]
## KTaRe2 (PBE)

Data for KTaRe2 after structural relaxation.

Unit cell a=4.9045 b=4.9045 c=9.6289 alpha=75.25 beta=75.25 gamma=90.00
Element x y z (fractional)
Ta 0.7500 0.2500 0.5000
Re 0.9270 0.6250 0.2500
K 0.2500 0.7500 0.5000
Re 0.8750 0.0730 0.7500
K 0.5000 0.5000 0.0000
Re 0.3750 0.1770 0.7500
Ta 0.0000 0.0000 0.0000
Re 0.8230 0.1250 0.2500

Properties
**Total DFT energy (no corrections)**: -61.51 eV per cell
**Energy relative to the lowest polymorph listed for this composition**: 1.156 eV per atom
**Energy relative to the elements**: 1.77 eV/atom
**Total magnetic moment**: 0.000 Bohr magnetons per cell
**Theoretical density**: 9.1 g cm⁻³